Entry 1:
## Sr2Li12Ag3Sn (PBE)

Data for a relaxed structure of Sr2Li12Ag3Sn.

POSCAR file:
```
Sr2Li12Ag3Sn
1.0
-3.7391 -5.5697 3.0946
5.7809 -2.3380 3.9614
-1.8747 3.9201 5.9747
Sr Li Ag Sn
2 12 3 1
Direct
0.7483 0.7483 0.7483 Sr
0.2517 0.2517 0.2517 Sr
0.4203 0.4203 0.8465 Li
0.8129 0.8129 0.2702 Li
0.2702 0.8129 0.8129 Li
0.8465 0.4203 0.4203 Li
0.8129 0.2702 0.8129 Li
0.4203 0.8465 0.4203 Li
0.5797 0.5797 0.1535 Li
0.1871 0.1871 0.7298 Li
0.7298 0.1871 0.1871 Li
0.1535 0.5797 0.5797 Li
0.1871 0.7298 0.1871 Li
0.5797 0.1535 0.5797 Li
0.5000 0.0000 0.0000 Ag
0.0000 0.5000 0.0000 Ag
0.0000 0.0000 0.5000 Ag
0.0000 0.0000 0.0000 Sn
```

## Properties
space group = R-3m, No. 166

Entry 2:
## SrLiAg2Sn (PBE)

Data for a relaxed structure of SrLiAg2Sn.

POSCAR file:
```
SrLiAg2Sn
1.0
4.8115 0.0000 0.0000
0.0000 4.5000 0.0000
-2.4057 -2.2500 5.7869
Sr Li Ag Sn
1 1 2 1
Direct
0.4415 0.4415 0.8831 Sr
0.1971 0.6971 0.3942 Li
0.6876 0.1876 0.3753 Ag
0.0618 0.0618 0.1236 Ag
0.8240 0.8240 0.6481 Sn
```

## Properties
space group = Imm2, No. 44

Entry 3:
## Sr2LiAg4Sn3 (PBE)

Data for a relaxed structure of Sr2LiAg4Sn3.

POSCAR file:
```
Sr2LiAg4Sn3
1.0
4.7682 0.0000 0.0000
0.0000 4.7682 0.0000
0.0000 0.0000 11.1493
Sr Li Ag Sn
2 1 4 3
Direct
0.5000 0.0000 0.2422 Sr
0.0000 0.5000 0.7578 Sr
0.5000 0.5000 0.5000 Li
0.5000 0.5000 0.0000 Ag
0.0000 0.0000 0.0000 Ag
0.5000 0.0000 0.6215 Ag
0.0000 0.5000 0.3785 Ag
0.0000 0.0000 0.5000 Sn
0.5000 0.0000 0.8648 Sn
0.0000 0.5000 0.1352 Sn
```

## Properties
space group = P-4m2, No. 115

Entry 4:
## Sr2LiAg3Sn4 (PBE)

Data for a relaxed structure of Sr2LiAg3Sn4.

POSCAR file:
```
Sr2LiAg3Sn4
1.0
-2.5992 -3.8742 0.7162
2.0804 -2.0783 -3.6921
8.2911 -4.2560 7.0676
Sr Li Ag Sn
2 1 3 4
Direct
0.5000 0.0000 0.2573 Sr
0.0000 0.5000 0.7427 Sr
0.5000 0.5000 0.5000 Li
0.0000 0.0000 0.5000 Ag
0.5000 0.0000 0.8598 Ag
0.0000 0.5000 0.1402 Ag
0.5000 0.5000 0.0000 Sn
0.0000 0.0000 0.0000 Sn
0.5000 0.0000 0.6267 Sn
0.0000 0.5000 0.3733 Sn
```

## Properties
space group = P-4m2, No. 115

| no. | calculated total energy (Ry/atom) |
| --- | --- |
| 1 | -0.163 |
| 2 | -0.217 |
| 3 | -0.237 |
| 4 | -0.246 |